No. 1
! MnRe2B PBE relaxed; values from VASP
&SYSTEM
  ibrav = 0, nat = 8, ntyp = 3
/
ATOMIC_SPECIES
B 10.81 B.upf
Mn 54.94 Mn.upf
Re 186.21 Re.upf
CELL_PARAMETERS angstrom
3.752 0.000 0.000
0.000 3.752 0.000
1.876 1.876 7.815
ATOMIC_POSITIONS crystal
B 0.500 0.500 0.000
B 0.250 0.750 0.500
Mn 0.750 0.250 0.500
Mn 0.000 0.000 0.000
Re 0.375 0.418 0.750
Re 0.875 0.832 0.750
Re 0.582 0.125 0.250
Re 0.168 0.625 0.250
! - Space group: I-42d, No. 122
! - Total moment: 0.00 μB/cell
! - Crystal system: tetragonal
! - Calculated formation energy: 0.86 eV/atom


No. 2
! Li7Ac3Si4 PBE relaxed; values from VASP
&SYSTEM
  ibrav = 0, nat = 14, ntyp = 3
/
ATOMIC_SPECIES
Li 6.94 Li.upf
Si 28.09 Si.upf
Ac 227.00 Ac.upf
CELL_PARAMETERS angstrom
4.559 0.000 1.150
1.478 7.964 3.752
0.182 0.993 8.891
ATOMIC_POSITIONS crystal
Li 0.513 0.181 0.794
Li 0.000 0.000 0.000
Li 0.857 0.346 0.940
Li 0.143 0.654 0.060
Li 0.665 0.181 0.489
Li 0.487 0.819 0.206
Li 0.335 0.819 0.511
Si 0.130 0.061 0.679
Si 0.870 0.939 0.321
Si 0.361 0.493 0.786
Si 0.639 0.507 0.214
Ac 0.000 0.500 0.500
Ac 0.725 0.770 0.780
Ac 0.275 0.230 0.220
! - Space group: C2/m, No. 12
! - Total moment: 0.00 μB/cell
! - Total energy: -3.74 eV per atom
! - Crystal system: monoclinic


No. 3
! Ce2Y3TmAs6 PBE relaxed; values from VASP
&SYSTEM
  ibrav = 0, nat = 12, ntyp = 4
/
ATOMIC_SPECIES
Ce 140.12 Ce.upf
As 74.92 As.upf
Y 88.91 Y.upf
Tm 168.93 Tm.upf
CELL_PARAMETERS angstrom
7.180 -0.001 0.000
-3.589 6.219 0.000
-1.198 -2.074 6.766
ATOMIC_POSITIONS crystal
Ce 0.666 0.334 0.000
Ce 0.334 0.666 0.000
As 0.917 0.587 0.750
As 0.246 0.246 0.748
As 0.413 0.083 0.250
As 0.083 0.413 0.250
As 0.587 0.917 0.750
As 0.754 0.754 0.252
Y 0.832 0.168 0.500
Y 0.168 0.832 0.500
Y 0.500 0.500 0.500
Tm 0.000 0.000 0.000
! - Space group: C2/m, No. 12
! - Total moment: 1.19 μB/cell
! - Crystal system: monoclinic
! - Calculated formation energy: -1.50 eV/atom


No. 4
! AcHgAs2 PBE relaxed; values from VASP
&SYSTEM
  ibrav = 0, nat = 4, ntyp = 3
/
ATOMIC_SPECIES
Ac 227.00 Ac.upf
As 74.92 As.upf
Hg 200.59 Hg.upf
CELL_PARAMETERS angstrom
-2.456 -2.295 3.575
-0.263 -4.900 0.041
3.322 -2.602 3.980
ATOMIC_POSITIONS crystal
Ac 0.500 0.500 0.500
As 0.718 0.718 0.845
As 0.282 0.282 0.155
Hg 0.000 0.000 0.000
! - Space group: R-3m, No. 166
! - Total moment: 0.00 μB/cell
! - Crystal system: trigonal
! - Calculated formation energy: -0.45 eV/atom
! - Excess energy over the best structure of this formula in the dataset: 129 meV per atom


No. 5
! LaPAu2 PBE relaxed; values from VASP
&SYSTEM
  ibrav = 0, nat = 4, ntyp = 3
/
ATOMIC_SPECIES
P 30.97 P.upf
La 138.91 La.upf
Au 196.97 Au.upf
CELL_PARAMETERS angstrom
3.713 0.013 0.000
-0.888 3.606 0.000
0.000 0.000 6.724
ATOMIC_POSITIONS crystal
P 0.500 0.500 0.792
La 0.000 0.000 0.523
Au 0.500 0.500 0.211
Au 0.000 0.000 0.974
! - Space group: Cmm2, No. 35
! - Total moment: 0.00 μB/cell
! - Crystal system: orthorhombic
! - Calculated formation energy: -0.37 eV/atom


No. 6
! AgRhSe2 PBE relaxed; values from VASP
&SYSTEM
  ibrav = 0, nat = 4, ntyp = 3
/
ATOMIC_SPECIES
Rh 102.91 Rh.upf
Se 78.96 Se.upf
Ag 107.87 Ag.upf
CELL_PARAMETERS angstrom
3.058 0.000 0.000
0.000 3.058 0.000
0.000 0.000 8.435
ATOMIC_POSITIONS crystal
Rh 0.500 0.500 0.773
Se 0.000 0.000 0.916
Se 0.500 0.500 0.287
Ag 0.000 0.000 0.524
! - Space group: P4mm, No. 99
! - Total moment: 0.00 μB/cell
! - Total energy: -4.29 eV per atom
! - Crystal system: tetragonal


No. 7
! MoPOsS2 PBE relaxed; values from VASP
&SYSTEM
  ibrav = 0, nat = 5, ntyp = 4
/
ATOMIC_SPECIES
Os 190.23 Os.upf
P 30.97 P.upf
S 32.06 S.upf
Mo 95.94 Mo.upf
CELL_PARAMETERS angstrom
4.541 0.000 0.000
0.000 4.541 0.000
0.000 0.000 4.890
ATOMIC_POSITIONS crystal
Os 0.500 0.500 0.500
P 0.000 0.000 0.500
S 0.000 0.500 0.000
S 0.500 0.000 0.000
Mo 0.000 0.000 0.000
! - Space group: P4/mmm, No. 123
! - Total moment: 3.29 μB/cell
! - Crystal system: tetragonal
! - Excess energy over the best structure of this formula in the dataset: 187 meV per atom


No. 8
! Ga2SeN PBE relaxed; values from VASP
&SYSTEM
  ibrav = 0, nat = 8, ntyp = 3
/
ATOMIC_SPECIES
Se 78.96 Se.upf
Ga 69.72 Ga.upf
N 14.01 N.upf
CELL_PARAMETERS angstrom
-0.481 1.300 5.161
1.411 -4.966 1.382
5.377 -0.410 3.371
ATOMIC_POSITIONS crystal
Se 0.750 0.250 0.500
Se 0.000 0.000 0.000
Ga 0.537 0.125 0.250
Ga 0.875 0.787 0.750
Ga 0.213 0.625 0.250
Ga 0.375 0.463 0.750
N 0.250 0.750 0.500
N 0.500 0.500 0.000
! - Space group: I-42d, No. 122
! - Total moment: 0.00 μB/cell
! - Crystal system: tetragonal
! - Excess energy over the best structure of this formula in the dataset: 0 meV per atom


Number 1: ρ 13.2 Mg/m³. Number 2: ρ 4.6 Mg/m³. Number 3: ρ 6.4 Mg/m³. Number 4: ρ 9.1 Mg/m³. Number 5: ρ 10.4 Mg/m³. Number 6: ρ 7.8 Mg/m³. Number 7: ρ 6.3 Mg/m³. Number 8: ρ 5.3 Mg/m³.